No. 1
Below is YMgP2 at its PBEsol-relaxed geometry, with properties calculated at the SCAN level.

Cell and atoms, written as CIF:
```
data_YMgP2
_symmetry_space_group_name_H-M 'P 1'
_symmetry_Int_Tables_number 1
_cell_length_a 3.851
_cell_length_b 3.851
_cell_length_c 9.991
_cell_angle_alpha 90.00
_cell_angle_beta 90.00
_cell_angle_gamma 90.00
loop_
_symmetry_equiv_pos_as_xyz
'x,y,z'
loop_
_atom_site_label
_atom_site_fract_x
_atom_site_fract_y
_atom_site_fract_z
Y1 0.000 0.000 0.000
Y2 0.500 0.500 0.500
Mg1 0.000 0.500 0.250
Mg2 0.500 0.000 0.750
P1 0.000 0.000 0.500
P2 0.000 0.500 0.750
P3 0.500 0.000 0.250
P4 0.500 0.500 0.000
```

## Properties
Space-group type: I-4m2
Calculated formation energy in eV/f.u.: -3.2
D(E_F) in states/eV/f.u.: 1.568

No. 2
Below is Mg2AlAg at its PBEsol-relaxed geometry, with properties calculated at the SCAN level.

Cell and atoms, written as CIF:
```
data_Mg2AlAg
_symmetry_space_group_name_H-M 'P 1'
_symmetry_Int_Tables_number 1
_cell_length_a 4.159
_cell_length_b 4.159
_cell_length_c 8.520
_cell_angle_alpha 90.00
_cell_angle_beta 90.00
_cell_angle_gamma 90.00
loop_
_symmetry_equiv_pos_as_xyz
'x,y,z'
loop_
_atom_site_label
_atom_site_fract_x
_atom_site_fract_y
_atom_site_fract_z
Mg1 0.000 0.000 0.000
Mg2 0.000 0.500 0.250
Mg3 0.500 0.000 0.750
Mg4 0.500 0.500 0.500
Al1 0.000 0.500 0.750
Al2 0.500 0.000 0.250
Ag1 0.000 0.000 0.500
Ag2 0.500 0.500 0.000
```

## Properties
Space-group type: I-4m2
Calculated formation energy in eV/f.u.: -0.3
D(E_F) in states/eV/f.u.: 1.480